[1]
La2MoBr: single point on PBEsol structure, SCAN.

Lattice parameters (Å, degrees): 3.4915 5.0431 5.9475 90.00 106.89 90.00
Fractional positions:
Mo (0.9619, 0.0000, 0.3430)
Br (0.4119, 0.5000, 0.8426)
La (0.9750, 0.0000, 0.9369)
La (0.6511, 0.5000, 0.3774)

[2]
CuBiAs2Se: single point on PBEsol structure, SCAN.

Lattice parameters (Å, degrees): 5.3701 5.3701 5.3909 90.00 90.00 90.00
Each line ends with the local moment (μB).
Fractional positions:
As (0.0000, 0.5000, 0.0000)  0.47
As (0.5000, 0.0000, 0.0000)  0.47
Cu (0.5000, 0.5000, 0.5000)  0.04
Bi (0.0000, 0.0000, 0.0000)  0.00
Se (0.0000, 0.0000, 0.5000)  0.24

[3]
CsMgCl2: single point on PBEsol structure, SCAN.

Lattice parameters (Å, degrees): 6.7895 6.7895 8.4266 113.76 113.76 90.00
Fractional positions:
Cs (0.2500, 0.7500, 0.5000)
Cs (0.0000, 0.0000, 0.0000)
Mg (0.7500, 0.2500, 0.5000)
Mg (0.5000, 0.5000, 0.0000)
Cl (0.4860, 0.8750, 0.2500)
Cl (0.7640, 0.3750, 0.2500)
Cl (0.1250, 0.2360, 0.7500)
Cl (0.6250, 0.5140, 0.7500)

Formation energy (no corrections) (computed, kcal/mol of atoms): -9.62 31.54 -32.84